Record 1
# PBE Rb2InTeMo, optimized geometry
data_Rb2InTeMo
_cell_length_a 6.9764
_cell_length_b 6.9764
_cell_length_c 5.1736
_cell_angle_alpha 90.00
_cell_angle_beta 90.00
_cell_angle_gamma 90.00
_space_group_name_H-M_alt 'P 4/m m m'
_space_group_IT_number 123
_space_group_name_Hall '-P 4 2'
loop_
_atom_site_label
_atom_site_type_symbol
_atom_site_fract_x
_atom_site_fract_y
_atom_site_fract_z
_atom_site_occupancy
Rb1 Rb 0.0000 0.5000 0.0000 1
In1 In 0.0000 0.0000 0.5000 1
Te1 Te 0.5000 0.5000 0.5000 1
Mo1 Mo 0.5000 0.5000 0.0000 1
# VASP energy = -0.227 Ry per atom
# Mass density = 3.36 Mg/m³
# Magnetization = 0.511 μB/atom



Record 2
# PBE RbVInMo2, optimized geometry
data_RbVInMo2
_cell_length_a 4.7428
_cell_length_b 4.7428
_cell_length_c 5.4315
_cell_angle_alpha 90.00
_cell_angle_beta 90.00
_cell_angle_gamma 90.00
_space_group_name_H-M_alt 'P 4/m m m'
_space_group_IT_number 123
_space_group_name_Hall '-P 4 2'
loop_
_atom_site_label
_atom_site_type_symbol
_atom_site_fract_x
_atom_site_fract_y
_atom_site_fract_z
_atom_site_occupancy
Rb1 Rb 0.0000 0.0000 0.0000 1
V1 V 0.5000 0.5000 0.5000 1
In1 In 0.5000 0.5000 0.0000 1
Mo1 Mo 0.0000 0.5000 0.5000 1
# VASP energy = -0.414 Ry per atom
# Mass density = 6.02 Mg/m³
# Magnetization = 0.568 μB/atom
# Energy of formation = 6.3 eV/f.u.



Record 3
# PBE Rb2YInMo, optimized geometry
data_Rb2YInMo
_cell_length_a 6.5727
_cell_length_b 6.5727
_cell_length_c 5.4755
_cell_angle_alpha 90.00
_cell_angle_beta 90.00
_cell_angle_gamma 90.00
_space_group_name_H-M_alt 'P 4/m m m'
_space_group_IT_number 123
_space_group_name_Hall '-P 4 2'
loop_
_atom_site_label
_atom_site_type_symbol
_atom_site_fract_x
_atom_site_fract_y
_atom_site_fract_z
_atom_site_occupancy
Rb1 Rb 0.0000 0.5000 0.0000 1
Y1 Y 0.0000 0.0000 0.5000 1
In1 In 0.5000 0.5000 0.5000 1
Mo1 Mo 0.5000 0.5000 0.0000 1
# VASP energy = -0.223 Ry per atom
# Mass density = 3.30 Mg/m³
# Magnetization = 0.614 μB/atom
# Energy of formation = 6.8 eV/f.u.



Record 4
# PBE In2ReMo, optimized geometry
data_In2ReMo
_cell_length_a 4.0500
_cell_length_b 4.0500
_cell_length_c 4.4155
_cell_angle_alpha 90.00
_cell_angle_beta 90.00
_cell_angle_gamma 90.00
_space_group_name_H-M_alt 'P 4/m m m'
_space_group_IT_number 123
_space_group_name_Hall '-P 4 2'
loop_
_atom_site_label
_atom_site_type_symbol
_atom_site_fract_x
_atom_site_fract_y
_atom_site_fract_z
_atom_site_occupancy
In1 In 0.0000 0.5000 0.0000 1
Re1 Re 0.0000 0.0000 0.5000 1
Mo1 Mo 0.5000 0.5000 0.5000 1
# VASP energy = -0.479 Ry per atom
# Mass density = 11.73 Mg/m³
# Magnetization = 0.058 μB/atom
# Energy of formation = 2.7 eV/f.u.
# E above lowest polymorph = 0.494 eV/atom



Record 5
# PBE In2ReMo, optimized geometry
data_In2ReMo
_cell_length_a 4.0485
_cell_length_b 4.0485
_cell_length_c 8.8352
_cell_angle_alpha 90.00
_cell_angle_beta 90.00
_cell_angle_gamma 90.00
_space_group_name_H-M_alt 'I 4/m m m'
_space_group_IT_number 139
_space_group_name_Hall '-I 4 2'
loop_
_atom_site_label
_atom_site_type_symbol
_atom_site_fract_x
_atom_site_fract_y
_atom_site_fract_z
_atom_site_occupancy
In1 In 0.0000 0.5000 0.2500 1
Re1 Re 0.0000 0.0000 0.0000 1
Mo1 Mo 0.0000 0.0000 0.5000 1
# VASP energy = -0.478 Ry per atom
# Mass density = 11.74 Mg/m³
# Magnetization = 0.019 μB/atom
# Energy of formation = 2.7 eV/f.u.
# E above lowest polymorph = 0.500 eV/atom



Record 6
# PBE InReMo2, optimized geometry
data_InReMo2
_cell_length_a 7.4933
_cell_length_b 7.4933
_cell_length_c 5.4763
_cell_angle_alpha 90.00
_cell_angle_beta 90.00
_cell_angle_gamma 90.00
_space_group_name_H-M_alt 'I -4 2 d'
_space_group_IT_number 122
_space_group_name_Hall 'I -4 2bw'
loop_
_atom_site_label
_atom_site_type_symbol
_atom_site_fract_x
_atom_site_fract_y
_atom_site_fract_z
_atom_site_occupancy
In1 In 0.0000 0.0000 0.0000 1
Re1 Re 0.0000 0.0000 0.5000 1
Mo1 Mo 0.1952 0.2500 0.6250 1
# VASP energy = -0.617 Ry per atom
# Mass density = 10.65 Mg/m³
# Magnetization = 0.000 μB/atom
# Energy of formation = 3.3 eV/f.u.



Record 7
# PBE In2ReMo, optimized geometry
data_In2ReMo
_cell_length_a 2.9899
_cell_length_b 2.9899
_cell_length_c 28.0445
_cell_angle_alpha 90.00
_cell_angle_beta 90.00
_cell_angle_gamma 120.00
_space_group_name_H-M_alt 'R -3 m'
_space_group_IT_number 166
_space_group_name_Hall '-R 3 2"'
loop_
_atom_site_label
_atom_site_type_symbol
_atom_site_fract_x
_atom_site_fract_y
_atom_site_fract_z
_atom_site_occupancy
In1 In 0.0000 0.0000 0.2489 1
Re1 Re 0.0000 0.0000 0.5000 1
Mo1 Mo 0.0000 0.0000 0.0000 1
# VASP energy = -0.484 Ry per atom
# Mass density = 11.74 Mg/m³
# Magnetization = 0.000 μB/atom
# Energy of formation = 2.4 eV/f.u.
# E above lowest polymorph = 0.418 eV/atom



Record 8
# PBE In2ReMo, optimized geometry
data_In2ReMo
_cell_length_a 3.1012
_cell_length_b 3.1012
_cell_length_c 8.2192
_cell_angle_alpha 90.00
_cell_angle_beta 90.00
_cell_angle_gamma 90.00
_space_group_name_H-M_alt 'P 4 m m'
_space_group_IT_number 99
loop_
_space_group_symop_operation_xyz
'x,y,z'
'-y,x,z'
'-x,-y,z'
'y,-x,z'
'-x,y,z'
'y,x,z'
'x,-y,z'
'-y,-x,z'
loop_
_atom_site_label
_atom_site_type_symbol
_atom_site_fract_x
_atom_site_fract_y
_atom_site_fract_z
_atom_site_occupancy
In1 In 0.0000 0.0000 0.0000 1
In2 In 0.5000 0.5000 0.3369 1
Re1 Re 0.5000 0.5000 0.7568 1
Mo1 Mo 0.0000 0.0000 0.5861 1
# VASP energy = -0.510 Ry per atom
# Mass density = 10.75 Mg/m³
# Magnetization = 0.000 μB/atom
# Energy of formation = 1.0 eV/f.u.
# E above lowest polymorph = 0.062 eV/atom